Here is crystalline YCd2W at its relaxed geometry from Alexandria. Energies are from PBEsol.

Structure (extended XYZ):
```
4
Lattice="-0.7531 -3.5573 0.3611 1.5008 0.0205 3.3316 -5.4095 1.3917 2.4282" Properties=species:S:1:pos:R:3 pbc="T T T"
Cd -4.1937 1.0789 1.8825
Y -2.3309 -1.0726 3.0605
Cd -1.2158 0.3128 0.5457
W 0.3738 -1.7684 1.8463
```

Summary:
ΔE_f: 0.433 eV per atom